Al2OsPt (PBE-GGA, relaxed); raw total energy = -6.6437 eV/atom; energy of formation = -0.45 eV per atom; space group = I-4m2; magnetic moment = 0.000 μB per cell
1.0
-1.841 1.841 4.270
1.841 -1.841 4.270
1.841 1.841 -4.270
Al Os Pt
2 1 1
Direct
0.000 0.000 0.000 Al
0.750 0.250 0.500 Al
0.250 0.750 0.500 Os
0.500 0.500 0.000 Pt